Below is TlWSN2 after structural relaxation, with properties calculated at the PBE level.

Cell: 3.991 3.991 5.035 Å, 90.00 90.00 90.00°
Fractional positions:
W  0.000  0.000  0.000
N  0.500  0.000  0.000
S  0.000  0.000  0.500
Tl  0.500  0.500  0.500
N  0.000  0.500  0.000

Computed properties:
Crystal system: tetragonal
Uncorrected formation energy in eV/atom: 0.213
Size of the total moment in μB per cell: 0.00
Space-group type: P4/mmm (123)
Energy in eV/atom: -7.0065
ΔE to the lowest computed polymorph in meV per atom: 0.0